No. 1
{
  "formula": "AlB2P",
  "functional": "PBE",
  "state": "optimized geometry",
  "lattice": [[-0.852, -3.187, -0.370], [3.562, 0.769, -3.564], [4.720, -1.372, 4.692]],
  "species": ["P", "P", "B", "B", "B", "B", "Al", "Al"],
  "frac_coords": [[0.509, 0.782, 0.607], [0.251, 0.218, 0.979], [0.839, 0.387, 0.347], [0.705, 0.696, 0.344], [0.930, 0.589, 0.566], [0.331, 0.396, 0.246], [0.282, 0.941, 0.254], [0.728, 0.239, 0.738]],
  "relative_energy_kj_per_mol_atoms": 8.41,
  "final_energy_ev_per_cell": -44.171,
  "mass_density_g_cm3": 2.38,
  "sg": "No. 1"
}

---

No. 2
{
  "formula": "BaSnAu10",
  "functional": "PBE",
  "state": "optimized geometry",
  "lattice": [[-2.047, -0.996, -4.085], [-2.472, -4.598, 2.360], [-7.803, 5.512, 2.565]],
  "species": ["Ba", "Sn", "Au", "Au", "Au", "Au", "Au", "Au", "Au", "Au", "Au", "Au"],
  "frac_coords": [[0.000, 0.500, 0.500], [0.000, 0.000, 0.000], [0.000, 0.000, 0.313], [0.000, 0.500, 0.844], [0.000, 0.500, 0.156], [0.000, 0.000, 0.687], [0.500, 0.000, 0.500], [0.500, 0.500, 0.000], [0.500, 0.253, 0.251], [0.500, 0.747, 0.749], [0.500, 0.747, 0.251], [0.500, 0.253, 0.749]],
  "final_energy_ev_per_cell": -41.196,
  "mass_density_g_cm3": 13.95,
  "sg": "No. 47"
}

---

No. 3
{
  "formula": "NbAgSb3",
  "functional": "PBE",
  "state": "optimized geometry",
  "lattice": [[-4.107, -2.857, -1.897], [0.573, -3.489, 4.015], [-3.381, 2.879, 2.985]],
  "species": ["Sb", "Sb", "Sb", "Nb", "Ag"],
  "frac_coords": [[0.000, 0.500, 0.000], [0.000, 0.000, 0.500], [0.500, 0.000, 0.000], [0.000, 0.000, 0.000], [0.500, 0.500, 0.500]],
  "relative_energy_kj_per_mol_atoms": 0.00,
  "final_energy_ev_per_cell": -22.927,
  "mass_density_g_cm3": 6.14,
  "raw_formation_energy_ev_per_atom": 0.4722,
  "sg": "No. 221"
}

---

No. 4
{
  "formula": "MnAsIr",
  "functional": "PBE",
  "state": "optimized geometry",
  "lattice": [[-0.458, 2.372, -3.458], [-1.971, -3.718, 0.283], [-2.326, 1.326, 1.218]],
  "species": ["As", "Ir", "Mn"],
  "frac_coords": [[0.000, 0.000, 0.166], [0.333, 0.667, 0.167], [0.667, 0.333, 0.667]],
  "final_energy_ev_per_cell": -23.023,
  "mass_density_g_cm3": 11.80,
  "sg": "No. 187"
}

---

No. 5
{
  "formula": "CsTiV2Au",
  "functional": "PBE",
  "state": "optimized geometry",
  "lattice": [[4.623, 0.000, 0.000], [0.000, 5.433, 0.000], [0.000, 0.000, 4.623]],
  "species": ["Cs", "Ti", "Au", "V", "V"],
  "frac_coords": [[0.500, 0.500, 0.500], [0.000, 0.000, 0.000], [0.000, 0.500, 0.000], [0.000, 0.000, 0.500], [0.500, 0.000, 0.000]],
  "relative_energy_kj_per_mol_atoms": 0.00,
  "final_energy_ev_per_cell": -24.096,
  "mass_density_g_cm3": 6.86,
  "sg": "No. 123"
}

---

No. 6
{
  "formula": "TaRhPb",
  "functional": "PBE",
  "state": "optimized geometry",
  "lattice": [[2.313, -4.006, 0.000], [2.313, 4.006, 0.000], [0.000, 0.000, 3.002]],
  "species": ["Ta", "Rh", "Pb"],
  "frac_coords": [[0.333, 0.667, 0.664], [0.667, 0.333, 0.190], [0.000, 0.000, 0.146]],
  "final_energy_ev_per_cell": -22.338,
  "mass_density_g_cm3": 14.66,
  "sg": "No. 156"
}

---

No. 7
{
  "formula": "KTl12Au4",
  "functional": "PBE",
  "state": "optimized geometry",
  "lattice": [[-1.945, -5.232, 6.895], [1.055, -4.966, -7.275], [7.504, 4.427, 1.672]],
  "species": ["K", "Tl", "Tl", "Tl", "Tl", "Tl", "Tl", "Tl", "Tl", "Tl", "Tl", "Tl", "Tl", "Au", "Au", "Au", "Au"],
  "frac_coords": [[0.000, 0.000, 0.000], [0.844, 0.345, 0.189], [0.345, 0.502, 0.156], [0.811, 0.156, 0.655], [0.345, 0.189, 0.844], [0.189, 0.844, 0.345], [0.655, 0.498, 0.844], [0.502, 0.156, 0.345], [0.498, 0.844, 0.655], [0.655, 0.811, 0.156], [0.844, 0.655, 0.498], [0.156, 0.345, 0.502], [0.156, 0.655, 0.811], [0.000, 0.500, 0.000], [0.500, 0.000, 0.000], [0.500, 0.500, 0.500], [0.000, 0.000, 0.500]],
  "final_energy_ev_per_cell": -42.567,
  "mass_density_g_cm3": 10.13,
  "sg": "No. 204"
}

---

No. 8
{
  "formula": "K2TlCl6",
  "functional": "PBE",
  "state": "optimized geometry",
  "lattice": [[7.414, 0.000, -0.106], [0.000, 7.730, 0.000], [-1.045, 0.000, 9.763]],
  "species": ["K", "K", "K", "K", "Tl", "Tl", "Cl", "Cl", "Cl", "Cl", "Cl", "Cl", "Cl", "Cl", "Cl", "Cl", "Cl", "Cl"],
  "frac_coords": [[0.974, 0.417, 0.757], [0.526, 0.917, 0.743], [0.474, 0.083, 0.257], [0.026, 0.583, 0.243], [0.500, 0.500, 0.000], [0.000, 0.000, 0.500], [0.912, 0.023, 0.237], [0.813, 0.706, 0.515], [0.783, 0.674, 0.950], [0.717, 0.174, 0.550], [0.687, 0.206, 0.985], [0.588, 0.523, 0.263], [0.088, 0.977, 0.763], [0.187, 0.294, 0.485], [0.217, 0.326, 0.050], [0.283, 0.826, 0.450], [0.313, 0.794, 0.015], [0.412, 0.477, 0.737]],
  "final_energy_ev_per_cell": -51.048,
  "mass_density_g_cm3": 2.94,
  "raw_formation_energy_ev_per_atom": -1.0981,
  "sg": "No. 14"
}

---

No. 9
{
  "formula": "TcMo4",
  "functional": "PBE",
  "state": "optimized geometry",
  "lattice": [[4.628, 0.000, 0.000], [0.000, 4.628, 0.000], [0.000, 0.000, 4.628]],
  "species": ["Mo", "Mo", "Mo", "Mo", "Tc"],
  "frac_coords": [[0.000, 0.000, 0.000], [0.500, 0.000, 0.500], [0.000, 0.500, 0.500], [0.500, 0.500, 0.000], [0.500, 0.500, 0.500]],
  "relative_energy_kj_per_mol_atoms": 168.40,
  "final_energy_ev_per_cell": -44.802,
  "mass_density_g_cm3": 8.07,
  "sg": "No. 221"
}

---

No. 10
{
  "formula": "Hg5RhPb2",
  "functional": "PBE",
  "state": "optimized geometry",
  "lattice": [[-4.558, 2.949, -3.277], [1.223, -4.604, -2.838], [-6.699, -4.156, -0.789]],
  "species": ["Hg", "Hg", "Hg", "Hg", "Hg", "Rh", "Pb", "Pb"],
  "frac_coords": [[0.792, 0.809, 0.744], [0.680, 0.043, 0.123], [0.980, 0.608, 0.144], [0.258, 0.218, 0.093], [0.341, 0.374, 0.375], [0.160, 0.122, 0.804], [0.310, 0.719, 0.651], [0.702, 0.329, 0.620]],
  "final_energy_ev_per_cell": -15.793,
  "mass_density_g_cm3": 11.80,
  "sg": "No. 1"
}

---

No. 11
{
  "formula": "TeSe2",
  "functional": "PBE",
  "state": "optimized geometry",
  "lattice": [[7.406, 0.000, 0.000], [-3.703, 6.413, 0.000], [0.000, 0.000, 7.453]],
  "species": ["Te", "Te", "Te", "Te", "Se", "Se", "Se", "Se", "Se", "Se", "Se", "Se"],
  "frac_coords": [[0.333, 0.667, 0.982], [0.667, 0.333, 0.482], [0.667, 0.333, 0.018], [0.333, 0.667, 0.518], [0.000, 0.000, 0.000], [0.000, 0.000, 0.500], [0.833, 0.666, 0.250], [0.167, 0.334, 0.750], [0.334, 0.167, 0.250], [0.833, 0.167, 0.250], [0.167, 0.833, 0.750], [0.666, 0.833, 0.750]],
  "relative_energy_kj_per_mol_atoms": 19.37,
  "final_energy_ev_per_cell": -38.213,
  "mass_density_g_cm3": 5.36,
  "raw_formation_energy_ev_per_atom": 0.1858,
  "sg": "No. 194"
}

---

No. 12
{
  "formula": "LaIn2Hg8",
  "functional": "PBE",
  "state": "optimized geometry",
  "lattice": [[-2.679, -3.841, -2.236], [5.245, -3.520, -0.237], [-4.407, -1.452, 8.330]],
  "species": ["La", "In", "In", "Hg", "Hg", "Hg", "Hg", "Hg", "Hg", "Hg", "Hg"],
  "frac_coords": [[0.000, 0.000, 0.000], [0.462, 0.733, 0.466], [0.538, 0.267, 0.534], [0.508, 0.328, 0.174], [0.492, 0.154, 0.826], [0.974, 0.813, 0.625], [0.026, 0.187, 0.375], [0.508, 0.846, 0.174], [0.492, 0.672, 0.826], [0.005, 0.594, 0.189], [0.995, 0.406, 0.811]],
  "relative_energy_kj_per_mol_atoms": 0.00,
  "final_energy_ev_per_cell": -14.210,
  "mass_density_g_cm3": 11.11,
  "sg": "No. 12"
}

---

No. 13
{
  "formula": "HfTeO6",
  "functional": "PBE",
  "state": "optimized geometry",
  "lattice": [[5.603, 0.007, 0.006], [2.795, 4.856, 0.010], [2.795, 1.615, 4.581]],
  "species": ["Hf", "Te", "O", "O", "O", "O", "O", "O"],
  "frac_coords": [[0.500, 0.500, 0.500], [0.000, 0.000, 0.000], [0.240, 0.241, 0.759], [0.759, 0.240, 0.759], [0.759, 0.241, 0.241], [0.241, 0.760, 0.241], [0.760, 0.759, 0.241], [0.241, 0.759, 0.759]],
  "final_energy_ev_per_cell": -54.845,
  "mass_density_g_cm3": 5.37,
  "raw_formation_energy_ev_per_atom": -1.5001,
  "sg": "No. 225"
}

---

No. 14
{
  "formula": "TlReRh2",
  "functional": "PBE",
  "state": "optimized geometry",
  "lattice": [[-3.553, -2.710, 0.632], [-2.047, -0.137, 4.020], [-4.124, 1.764, 0.493]],
  "species": ["Tl", "Re", "Rh", "Rh"],
  "frac_coords": [[0.750, 0.750, 0.750], [0.500, 0.500, 0.500], [0.000, 0.000, 0.000], [0.250, 0.250, 0.250]],
  "relative_energy_kj_per_mol_atoms": 47.31,
  "final_energy_ev_per_cell": -27.236,
  "mass_density_g_cm3": 15.24,
  "sg": "No. 216"
}

---

No. 15
{
  "formula": "Nd3Si4Ni7",
  "functional": "PBE",
  "state": "optimized geometry",
  "lattice": [[3.841, 0.000, 0.969], [1.462, 7.484, 2.302], [0.082, -0.148, 7.773]],
  "species": ["Nd", "Nd", "Nd", "Si", "Si", "Si", "Si", "Ni", "Ni", "Ni", "Ni", "Ni", "Ni", "Ni"],
  "frac_coords": [[0.312, 0.186, 0.189], [0.688, 0.814, 0.811], [0.000, 0.500, 0.500], [0.675, 0.494, 0.155], [0.325, 0.506, 0.845], [0.893, 0.889, 0.324], [0.107, 0.111, 0.676], [0.305, 0.883, 0.508], [0.500, 0.223, 0.777], [0.872, 0.351, 0.904], [0.695, 0.117, 0.492], [0.128, 0.649, 0.096], [0.000, 0.000, 0.000], [0.500, 0.777, 0.223]],
  "final_energy_ev_per_cell": -84.915,
  "mass_density_g_cm3": 7.09,
  "raw_formation_energy_ev_per_atom": -0.6035,
  "sg": "No. 12"
}

---

No. 16
{
  "formula": "Ba2Cu4C",
  "functional": "PBE",
  "state": "optimized geometry",
  "lattice": [[4.114, 0.000, 0.000], [0.000, 4.114, 0.000], [2.057, 2.057, 9.071]],
  "species": ["C", "Ba", "Ba", "Cu", "Cu", "Cu", "Cu"],
  "frac_coords": [[0.000, 0.000, 0.000], [0.664, 0.664, 0.672], [0.336, 0.336, 0.328], [0.895, 0.895, 0.210], [0.105, 0.105, 0.790], [0.000, 0.500, 0.000], [0.500, 0.000, 0.000]],
  "final_energy_ev_per_cell": -27.742,
  "mass_density_g_cm3": 5.85,
  "sg": "No. 139"
}

---

No. 17
{
  "formula": "Pm6Zn23",
  "functional": "PBE",
  "state": "optimized geometry",
  "lattice": [[7.888, 0.000, 4.554], [2.629, 7.436, 4.554], [0.000, 0.000, 9.108]],
  "species": ["Pm", "Pm", "Pm", "Pm", "Pm", "Pm", "Zn", "Zn", "Zn", "Zn", "Zn", "Zn", "Zn", "Zn", "Zn", "Zn", "Zn", "Zn", "Zn", "Zn", "Zn", "Zn", "Zn", "Zn", "Zn", "Zn", "Zn", "Zn", "Zn"],
  "frac_coords": [[0.212, 0.788, 0.788], [0.788, 0.212, 0.212], [0.212, 0.212, 0.788], [0.788, 0.788, 0.212], [0.212, 0.788, 0.212], [0.788, 0.212, 0.788], [0.500, 0.500, 0.500], [0.500, 0.000, 0.000], [0.000, 0.500, 0.500], [0.500, 0.500, 0.000], [0.000, 0.000, 0.500], [0.500, 0.000, 0.500], [0.000, 0.500, 0.000], [0.127, 0.624, 0.624], [0.624, 0.624, 0.127], [0.624, 0.127, 0.624], [0.624, 0.624, 0.624], [0.376, 0.376, 0.873], [0.873, 0.376, 0.376], [0.376, 0.873, 0.376], [0.376, 0.376, 0.376], [0.518, 0.827, 0.827], [0.827, 0.827, 0.518], [0.827, 0.518, 0.827], [0.827, 0.827, 0.827], [0.173, 0.173, 0.482], [0.482, 0.173, 0.173], [0.173, 0.482, 0.173], [0.173, 0.173, 0.173]],
  "final_energy_ev_per_cell": -66.616,
  "mass_density_g_cm3": 7.38,
  "sg": "No. 225"
}

---

No. 18
{
  "formula": "SrScCd11",
  "functional": "PBE",
  "state": "optimized geometry",
  "lattice": [[5.683, 0.006, 2.368], [2.786, 7.266, 1.161], [0.140, 0.003, 7.669]],
  "species": ["Sr", "Sc", "Cd", "Cd", "Cd", "Cd", "Cd", "Cd", "Cd", "Cd", "Cd", "Cd", "Cd"],
  "frac_coords": [[0.000, 0.000, 0.000], [0.500, 0.500, 0.000], [0.287, 0.217, 0.218], [0.713, 0.783, 0.782], [0.494, 0.783, 0.218], [0.506, 0.217, 0.782], [0.356, 0.651, 0.652], [0.644, 0.349, 0.348], [0.992, 0.349, 0.652], [0.008, 0.651, 0.348], [0.000, 0.500, 0.000], [0.500, 0.000, 0.500], [0.000, 0.000, 0.500]],
  "final_energy_ev_per_cell": -20.030,
  "mass_density_g_cm3": 7.24,
  "sg": "No. 12"
}

---

No. 19
{
  "formula": "Li3NbZn",
  "functional": "PBE",
  "state": "optimized geometry",
  "lattice": [[-0.330, -2.685, -3.446], [4.358, -0.450, -0.066], [-0.313, -3.433, 2.705]],
  "species": ["Nb", "Zn", "Li", "Li", "Li"],
  "frac_coords": [[0.500, 0.500, 0.500], [0.000, 0.000, 0.000], [0.000, 0.500, 0.000], [0.000, 0.000, 0.500], [0.500, 0.000, 0.000]],
  "relative_energy_kj_per_mol_atoms": 0.00,
  "final_energy_ev_per_cell": -13.110,
  "mass_density_g_cm3": 3.54,
  "sg": "No. 221"
}

---

No. 20
{
  "formula": "LiScPb",
  "functional": "PBE",
  "state": "optimized geometry",
  "lattice": [[-0.135, -4.586, -0.843], [0.718, 1.554, 4.339], [-6.618, -0.006, 1.097]],
  "species": ["Pb", "Pb", "Sc", "Sc", "Li", "Li"],
  "frac_coords": [[0.333, 0.667, 0.750], [0.667, 0.333, 0.250], [0.000, 0.000, 0.000], [0.000, 0.000, 0.500], [0.667, 0.333, 0.750], [0.333, 0.667, 0.250]],
  "final_energy_ev_per_cell": -26.485,
  "mass_density_g_cm3": 6.81,
  "sg": "No. 194"
}

---

Size of the total moment for the records above, in order: 0.00, 0.00, 0.00, 3.50, 3.31, 0.00, 0.00, 1.05, 0.55, 0.00, 0.00, 0.00, 1.88, 0.00, 0.00, 0.00, 0.00, 0.00, 0.00, 0.00 μB/f.u.
V for the records above, in order: 13.89, 22.08, 30.63, 15.11, 23.22, 18.54, 31.62, 31.04, 19.82, 26.73, 29.50, 26.82, 15.55, 16.25, 16.00, 21.93, 18.42, 24.16, 16.82, 21.07 A^3/atom